Entry 1:
Entry from Alexandria via LeMat-Bulk: a relaxed structure of PrNdY14 (GGA-PBE).

Formation energy from the elements, kJ per mole of atoms: 2.04
Theoretical density, Mg/m³: 4.86
Fermi-level density of states, states/eV/f.u.: 22.6
Space-group type: P4/mmm

Lattice parameters (Å, degrees): 7.1807 7.1807 10.1281 90.00 90.00 90.00
With the nearest neighbours (Å) after each atom.
Atoms (fractional coordinates):
1 Pr 0.0000 0.0000 0.0000  12 Y 3.59-3.60
2 Nd 0.5000 0.5000 0.0000  12 Y 3.59-3.60
3 Y 0.0000 0.0000 0.5000  12 Y 3.57-3.59
4 Y 0.0000 0.5000 0.0000  2 Nd 3.59, 2 Pr 3.59, 8 Y 3.60
5 Y 0.0000 0.5000 0.5000  12 Y 3.57-3.59
6 Y 0.2502 0.2502 0.2519  10 Y 3.57-3.60, 1 Nd 3.60, 1 Pr 3.60
7 Y 0.2502 0.2502 0.7481  10 Y 3.57-3.60, 1 Nd 3.60, 1 Pr 3.60
8 Y 0.2502 0.7498 0.2519  10 Y 3.57-3.60, 1 Nd 3.60, 1 Pr 3.60
9 Y 0.2502 0.7498 0.7481  10 Y 3.57-3.60, 1 Nd 3.60, 1 Pr 3.60
10 Y 0.5000 0.0000 0.0000  2 Nd 3.59, 2 Pr 3.59, 8 Y 3.60
11 Y 0.5000 0.0000 0.5000  12 Y 3.57-3.59
12 Y 0.5000 0.5000 0.5000  12 Y 3.57-3.59
13 Y 0.7498 0.2502 0.2519  10 Y 3.57-3.60, 1 Nd 3.60, 1 Pr 3.60
14 Y 0.7498 0.2502 0.7481  10 Y 3.57-3.60, 1 Nd 3.60, 1 Pr 3.60
15 Y 0.7498 0.7498 0.2519  10 Y 3.57-3.60, 1 Nd 3.60, 1 Pr 3.60
16 Y 0.7498 0.7498 0.7481  10 Y 3.57-3.60, 1 Nd 3.60, 1 Pr 3.60



Entry 2:
Entry from Alexandria via LeMat-Bulk: a relaxed structure of Pr2Nd8Y (GGA-PBE).

Formation energy from the elements, kJ per mole of atoms: 1.19
Polymorph energy (0 for the lowest one), meV per atom: 0
Theoretical density, Mg/m³: 6.54
Fermi-level density of states, states/eV/f.u.: 17.5
Space-group type: C2/m

Lattice parameters (Å, degrees): 9.7261 9.7261 8.2278 104.70 104.70 31.05
With the nearest neighbours (Å) after each atom.
Atoms (fractional coordinates):
1 Pr 0.2270 0.2270 0.1368  10 Nd 3.67-3.70, 2 Pr 3.69
2 Pr 0.7730 0.7730 0.8632  10 Nd 3.67-3.70, 2 Pr 3.69
3 Nd 0.0454 0.0454 0.2284  9 Nd 3.66-3.69, 2 Y 3.67, 1 Pr 3.67
4 Nd 0.1358 0.1358 0.6801  7 Nd 3.66-3.69, 2 Y 3.67, 3 Pr 3.69-3.70
5 Nd 0.3188 0.3188 0.5907  1 Y 3.66, 8 Nd 3.67-3.69, 3 Pr 3.68
6 Nd 0.4099 0.4099 0.0474  8 Nd 3.66-3.69, 1 Y 3.66, 3 Pr 3.69
7 Nd 0.5901 0.5901 0.9526  8 Nd 3.66-3.69, 1 Y 3.66, 3 Pr 3.69
8 Nd 0.6812 0.6812 0.4093  1 Y 3.66, 8 Nd 3.67-3.69, 3 Pr 3.68
9 Nd 0.8642 0.8642 0.3199  7 Nd 3.66-3.69, 2 Y 3.67, 3 Pr 3.69-3.70
10 Nd 0.9546 0.9546 0.7716  9 Nd 3.66-3.69, 2 Y 3.67, 1 Pr 3.67
11 Y 0.5000 0.5000 0.5000  12 Nd 3.66-3.67



Entry 3:
Entry from Alexandria via LeMat-Bulk: a relaxed structure of PrNd4Y2 (GGA-PBE).

Formation energy from the elements, kJ per mole of atoms: 5.51
Polymorph energy (0 for the lowest one), meV per atom: 0
Theoretical density, Mg/m³: 6.11
Fermi-level density of states, states/eV/f.u.: 10.7
Space-group type: Fdd2

Lattice parameters (Å, degrees): 12.7101 6.8882 13.6973 67.07 29.94 82.99
With the nearest neighbours (Å) after each atom.
Atoms (fractional coordinates):
1 Pr 0.0000 0.0000 0.0000  4 Y 3.50-3.67, 8 Nd 3.59-3.87
2 Pr 0.2500 0.2500 0.2500  4 Y 3.50-3.67, 8 Nd 3.59-3.87
3 Nd 0.0874 0.4975 0.1275  6 Nd 3.49-3.84, 2 Pr 3.59-3.74, 3 Y 3.63-3.89
4 Nd 0.1225 0.9624 0.1626  6 Nd 3.49-3.84, 2 Pr 3.59-3.74, 3 Y 3.63-3.89
5 Nd 0.4955 0.5425 0.3604  5 Nd 3.49-3.84, 4 Y 3.51-3.67, 2 Pr 3.66-3.87
6 Nd 0.4975 0.0874 0.2876  6 Nd 3.49-3.84, 2 Pr 3.59-3.74, 3 Y 3.63-3.89
7 Nd 0.5425 0.4955 0.6016  5 Nd 3.49-3.84, 4 Y 3.51-3.67, 2 Pr 3.66-3.87
8 Nd 0.6484 0.8896 0.7075  5 Nd 3.49-3.84, 4 Y 3.51-3.67, 2 Pr 3.66-3.87
9 Nd 0.8896 0.6484 0.7545  5 Nd 3.49-3.84, 4 Y 3.51-3.67, 2 Pr 3.66-3.87
10 Nd 0.9624 0.1225 0.7525  6 Nd 3.49-3.84, 2 Pr 3.59-3.74, 3 Y 3.63-3.89
11 Y 0.0592 0.5716 0.8735  2 Pr 3.50-3.67, 7 Nd 3.51-3.89, 2 Y 3.72
12 Y 0.3765 0.7543 0.1908  2 Pr 3.50-3.67, 7 Nd 3.51-3.89, 2 Y 3.72
13 Y 0.5716 0.0592 0.4957  2 Pr 3.50-3.67, 7 Nd 3.51-3.89, 2 Y 3.72
14 Y 0.7543 0.3765 0.6784  2 Pr 3.50-3.67, 7 Nd 3.51-3.89, 2 Y 3.72



Entry 4:
Entry from Alexandria via LeMat-Bulk: a relaxed structure of Pr2Nd5Y4 (GGA-PBE).

Formation energy from the elements, kJ per mole of atoms: 1.49
Polymorph energy (0 for the lowest one), meV per atom: 0
Theoretical density, Mg/m³: 5.96
Fermi-level density of states, states/eV/f.u.: 16.9
Space-group type: C2/m

Lattice parameters (Å, degrees): 12.1134 12.1134 8.9380 104.22 104.22 17.32
With the nearest neighbours (Å) after each atom.
Atoms (fractional coordinates):
1 Pr 0.0904 0.0904 0.2247  5 Y 3.63-3.66, 2 Pr 3.65, 5 Nd 3.66-3.68
2 Pr 0.9096 0.9096 0.7753  5 Y 3.63-3.66, 2 Pr 3.65, 5 Nd 3.66-3.68
3 Nd 0.0000 0.0000 0.5000  6 Nd 3.65, 4 Y 3.65, 2 Pr 3.66
4 Nd 0.2726 0.2726 0.6859  3 Y 3.62, 7 Nd 3.65-3.71, 2 Pr 3.66
5 Nd 0.3637 0.3637 0.4069  3 Y 3.62-3.63, 7 Nd 3.65-3.70, 2 Pr 3.68
6 Nd 0.6363 0.6363 0.5931  3 Y 3.62-3.63, 7 Nd 3.65-3.70, 2 Pr 3.68
7 Nd 0.7274 0.7274 0.3141  3 Y 3.62, 7 Nd 3.65-3.71, 2 Pr 3.66
8 Y 0.1818 0.1818 0.9540  5 Nd 3.62-3.63, 6 Y 3.64-3.65, 1 Pr 3.64
9 Y 0.4538 0.4538 0.1359  3 Nd 3.62-3.65, 4 Pr 3.63-3.66, 5 Y 3.64-3.67
10 Y 0.5462 0.5462 0.8641  3 Nd 3.62-3.65, 4 Pr 3.63-3.66, 5 Y 3.64-3.67
11 Y 0.8182 0.8182 0.0460  5 Nd 3.62-3.63, 6 Y 3.64-3.65, 1 Pr 3.64